Computed, not measured: an optimized crystal structure of Fe5O3F7 at the GGA+U level of DFT.

Structure (POSCAR):
```
Fe5O3F7
1.0
4.797 0.000 0.000
0.000 4.789 -0.003
0.000 4.725 15.726
O Fe F
6 10 14
direct
0.578 0.889 0.298
0.423 0.080 0.597
0.939 0.902 0.910
0.577 0.080 0.097
0.061 0.902 0.410
0.422 0.889 0.798
0.247 0.004 0.500
0.753 0.004 0.000
0.271 0.170 0.306
0.732 0.822 0.198
0.268 0.822 0.698
0.778 0.650 0.393
0.722 0.375 0.599
0.222 0.650 0.893
0.278 0.375 0.099
0.729 0.170 0.806
0.469 0.493 0.201
0.444 0.710 0.995
0.041 0.693 0.601
0.530 0.307 0.909
0.940 0.082 0.700
0.060 0.082 0.200
0.959 0.693 0.101
0.556 0.710 0.495
0.470 0.307 0.409
0.049 0.317 0.993
0.962 0.506 0.299
0.951 0.317 0.493
0.531 0.493 0.701
0.038 0.506 0.799
```

Output
total magnetization	23.00	μB per formula unit
energy above the most stable polymorph in this dataset	0.000	eV/atom
V	361.3	Å³ per cell
energy	-5.816	eV/atom